An optimized crystal structure of HPd3Se, computed with GGA-PBE.

Cell and atoms, written as POSCAR:
```
HPd3Se
1.0
3.8147 0.0000 0.0000
0.8796 5.7952 0.0000
0.8315 2.3013 6.4628
H Pd Se
2 6 2
direct
0.0000 0.1628 0.3464
0.0000 0.8372 0.6536
0.1973 0.4418 0.3148
0.2222 0.8166 0.8827
0.3030 0.8717 0.4205
0.6970 0.1283 0.5795
0.7778 0.1834 0.1173
0.8027 0.5582 0.6852
0.3234 0.2712 0.8439
0.6766 0.7288 0.1561
```

Values from the calculation:
- Symmetry: P-1 (2)
- D(E_F): 5.575 states/eV/cell
- Crystal system: triclinic
- Theoretical density: 9.3 Mg/m³
- E_tot: -22.97 eV/f.u.